# 1
VASP calculation (GGA-PBEsol) on a relaxed NaCd4As3 crystal.

The structure in extended XYZ format:
```
8
Lattice="4.4411 0.0000 0.0000 2.2206 3.8461 0.0000 2.2206 1.2820 11.1069" Properties=species:S:1:pos:R:3 pbc="T T T"
As 6.6617 3.8461 7.3032
As 0.0000 0.0000 0.0000
As 2.2206 1.2820 3.8037
Cd 2.2206 1.2820 1.1465
Cd 6.6617 3.8461 9.9604
Cd 2.2206 1.2820 7.9625
Cd 6.6617 3.8461 3.1444
Na 4.4411 2.5641 5.5534
```

Output
* E_tot: -2.865 eV/atom
* density: 6.10 g cm⁻³
* ΔH_f (0 K): -0.176 eV per atom

# 2
VASP calculation (GGA-PBEsol) on a relaxed CrH2Ir crystal.

The structure in extended XYZ format:
```
4
Lattice="3.6400 0.0000 0.0000 1.8200 3.1523 0.0000 1.8200 1.0508 2.9720" Properties=species:S:1:pos:R:3 pbc="T T T"
H 5.4600 3.1523 2.2290
H 1.8200 1.0508 0.7430
Ir 3.6400 2.1015 1.4860
Cr 0.0000 0.0000 0.0000
```

Output
* E_tot: -6.048 eV/atom
* density: 11.99 g cm⁻³

# 3
VASP calculation (GGA-PBEsol) on a relaxed Na3PI crystal.

The structure in extended XYZ format:
```
5
Lattice="-3.3096 -0.4481 -4.2648 -0.2072 -5.3643 0.7245 -4.2833 0.6058 3.2603" Properties=species:S:1:pos:R:3 pbc="T T T"
Na -0.1036 -2.6821 0.3623
Na -1.6548 -0.2241 -2.1324
Na -2.1417 0.3029 1.6301
I -3.9001 -2.6033 -0.1400
P 0.0000 0.0000 0.0000
```

Output
* E_tot: -2.744 eV/atom
* density: 2.37 g cm⁻³
* E_form (uncorrected): -0.392 eV/atom

# 4
VASP calculation (GGA-PBEsol) on a relaxed CsUSbO6 crystal.

The structure in extended XYZ format:
```
18
Lattice="7.3424 0.0000 0.0000 3.6712 6.6823 0.0000 3.6712 2.0464 6.3612" Properties=species:S:1:pos:R:3 pbc="T T T"
Sb 5.5068 3.3411 0.0000
Sb 1.8356 3.3411 0.0000
O 5.1078 3.5924 1.9444
O 5.9058 1.4132 0.3562
O 9.5771 5.1362 4.4169
O 11.0137 6.1176 2.0234
O 1.4366 1.4132 0.3562
O 8.7791 7.3154 6.0050
O 7.3424 4.7943 5.9289
O 3.6712 2.6111 4.3378
O 7.3424 3.9344 0.4324
O 13.2483 7.3154 6.0050
O 5.1078 5.1362 4.4169
O 9.5771 3.5924 1.9444
Cs 7.3424 6.4756 2.2844
Cs 7.3424 2.2530 4.0769
U 3.6712 4.3643 3.1806
U 0.0000 0.0000 0.0000
```

Output
* E_tot: -7.782 eV/atom
* density: 6.26 g cm⁻³
* E_form (uncorrected): -2.321 eV/atom

# 5
VASP calculation (GGA-PBEsol) on a relaxed MgSb2TeBr crystal.

The structure in extended XYZ format:
```
5
Lattice="5.4686 0.0000 0.0000 0.0000 5.6899 0.0000 0.0000 0.0000 5.6899" Properties=species:S:1:pos:R:3 pbc="T T T"
Sb 0.0000 2.8449 0.0000
Sb 0.0000 0.0000 2.8449
Mg 2.7343 2.8449 2.8449
Br 2.7343 0.0000 0.0000
Te 0.0000 0.0000 0.0000
```

Output
* E_tot: -2.738 eV/atom
* density: 4.46 g cm⁻³
* E_form (uncorrected): 0.508 eV/atom

# 6
VASP calculation (GGA-PBEsol) on a relaxed NbPtPb3 crystal.

The structure in extended XYZ format:
```
5
Lattice="5.3442 0.0000 0.0000 0.0000 5.3442 0.0000 0.0000 0.0000 5.3442" Properties=species:S:1:pos:R:3 pbc="T T T"
Pb 0.0000 2.6721 0.0000
Pb 2.6721 0.0000 0.0000
Pb 0.0000 0.0000 2.6721
Nb 0.0000 0.0000 0.0000
Pt 2.6721 2.6721 2.6721
```

Output
* E_tot: -4.868 eV/atom
* density: 9.90 g cm⁻³
* ΔH_f (0 K): 1.088 eV per atom

# 7
VASP calculation (GGA-PBEsol) on a relaxed Ba2TlCo crystal.

The structure in extended XYZ format:
```
4
Lattice="3.8393 0.0000 0.0000 0.0000 5.6211 -0.0077 -1.9197 -2.8026 5.5933" Properties=species:S:1:pos:R:3 pbc="T T T"
Ba 0.0000 0.0002 0.2113
Ba 0.0000 2.8138 2.2611
Co 0.0000 0.0070 5.2196
Tl 1.9197 0.0054 3.4830
```

Output
* E_tot: -3.496 eV/atom
* density: 7.41 g cm⁻³
* ΔH_f (0 K): 0.170 eV per atom

# 8
VASP calculation (GGA-PBEsol) on a relaxed SmCuO3 crystal.

The structure in extended XYZ format:
```
10
Lattice="-0.4005 -5.1745 0.7053 2.0161 -1.9886 4.4061 -3.3696 -1.6758 3.6429" Properties=species:S:1:pos:R:3 pbc="T T T"
Sm -0.4385 -2.2097 2.1886
Sm -1.3155 -6.6291 6.5657
O -2.5468 -5.3717 4.5836
O -1.0438 -4.7734 2.4838
O -1.9416 -2.8080 4.2883
O -0.7103 -4.0654 6.2705
O 0.7928 -3.4671 4.1707
O 0.1876 -6.0308 4.4660
Cu -0.8770 -4.4194 4.3771
Cu 0.0000 0.0000 0.0000
```

Output
* E_tot: -7.060 eV/atom
* density: 8.08 g cm⁻³
* E_form (uncorrected): -2.025 eV/atom

# 9
VASP calculation (GGA-PBEsol) on a relaxed TaPtRh2 crystal.

The structure in extended XYZ format:
```
4
Lattice="3.8605 0.0000 0.0000 0.0000 3.8605 0.0000 -1.9303 -1.9303 3.9219" Properties=species:S:1:pos:R:3 pbc="T T T"
Ta 1.9303 1.9303 0.0000
Rh 0.0000 0.0000 0.0000
Rh 1.9303 0.0000 1.9609
Pt 0.0000 1.9303 1.9609
```

Output
* E_tot: -9.542 eV/atom
* density: 16.53 g cm⁻³
* ΔH_f (0 K): -0.594 eV per atom

# 10
VASP calculation (GGA-PBEsol) on a relaxed Ca2CdCo crystal.

The structure in extended XYZ format:
```
4
Lattice="-3.1089 0.7588 -1.7788 0.5612 -4.1360 -2.7454 -2.5784 -2.6038 3.3957" Properties=species:S:1:pos:R:3 pbc="T T T"
Co -1.5545 0.3794 -0.8894
Cd -2.5630 -2.9905 -0.5642
Ca 0.2806 -2.0680 -1.3727
Ca -1.2892 -1.3019 1.6978
```

Output
* E_tot: -3.116 eV/atom
* density: 4.57 g cm⁻³
* ΔH_f (0 K): 0.184 eV per atom

# 11
VASP calculation (GGA-PBEsol) on a relaxed RbMnAsSe2 crystal.

The structure in extended XYZ format:
```
5
Lattice="4.6630 0.0000 0.0000 0.0000 5.0129 0.0000 0.0000 0.0000 5.0129" Properties=species:S:1:pos:R:3 pbc="T T T"
As 2.3315 0.0000 0.0000
Rb 2.3315 2.5065 2.5065
Se 0.0000 0.0000 2.5065
Se 0.0000 2.5065 0.0000
Mn 0.0000 0.0000 0.0000
```

Output
* E_tot: -4.939 eV/atom
* density: 5.29 g cm⁻³
* E_form (uncorrected): -0.220 eV/atom

# 12
VASP calculation (GGA-PBEsol) on a relaxed CoWBr2 crystal.

The structure in extended XYZ format:
```
4
Lattice="3.1088 0.0000 0.0000 0.0000 3.1088 0.0000 0.0000 0.0000 7.5768" Properties=species:S:1:pos:R:3 pbc="T T T"
Br 1.5544 1.5544 2.6073
Br 0.0000 0.0000 7.0779
Co 0.0000 0.0000 3.9979
W 1.5544 1.5544 5.2590
```

Output
* E_tot: -5.968 eV/atom
* density: 9.13 g cm⁻³
* E_form (uncorrected): 0.353 eV/atom